# PBE-GGA AcTbGaGe, relaxed
# **ΔE_f**: -0.5024 eV per atom
# **DFT total energy**: -4.5982 eV per atom
data_AcTbGaGe
_chemical_formula_sum 'Ac4 Tb4 Ga4 Ge4'
_space_group_name_H-M_alt 'F -4 3 m'
_space_group_IT_number 216
_space_group_name_Hall 'F -4 2 3'
_cell_length_a 7.517
_cell_length_b 7.517
_cell_length_c 7.517
_cell_angle_alpha 90.00
_cell_angle_beta 90.00
_cell_angle_gamma 90.00
loop_
_atom_site_label
_atom_site_fract_x
_atom_site_fract_y
_atom_site_fract_z
Ac1 0.000 0.000 0.000
Tb1 0.000 0.000 0.500
Ga1 0.250 0.250 0.750
Ge1 0.250 0.250 0.250